TiBiTe2: single point on PBEsol structure, meta-GGA SCAN.

Cell and atoms, written as extended XYZ:
```
4
Lattice="-2.7845 -1.6913 1.6149 -1.3355 -3.0683 -1.4224 4.8704 -6.7756 5.3953" Properties=species:S:1:pos:R:3 pbc="T T T"
Bi 0.0000 0.0000 0.0000
Te -2.1158 -6.4252 1.9037
Te 2.8663 -5.1100 3.6841
Ti 0.3752 -5.7676 2.7939
```

Calculated total energy (eV/atom): -42.703
SG: R-3m (166)